1.
Material: Ba4MnFe
Method: DFT, PBE
State: relaxed

```
6
Lattice="0.000 5.066 5.066 5.066 0.000 5.066 5.066 5.066 0.000" Properties=species:S:1:pos:R:3 pbc="T T T"
Ba 1.266 1.266 1.266
Ba 3.800 3.800 1.266
Ba 3.800 1.266 3.800
Ba 1.266 3.800 3.800
Mn 5.066 5.066 5.066
Fe 7.599 7.599 7.599
```

***

2.
Material: BaMn2Fe
Method: DFT, PBE
State: relaxed

```
4
Lattice="4.189 0.000 0.000 0.000 1.662 6.410 0.000 -1.662 6.410" Properties=species:S:1:pos:R:3 pbc="T T T"
Ba 0.000 0.000 0.000
Mn 0.000 0.000 9.525
Mn 2.095 0.000 3.731
Fe 2.095 0.000 8.331
```

***

3.
Material: BaMnFe
Method: DFT, PBE
State: relaxed

```
3
Lattice="0.000 3.674 3.674 3.674 0.000 3.674 3.674 3.674 0.000" Properties=species:S:1:pos:R:3 pbc="T T T"
Ba 0.000 0.000 0.000
Mn 1.837 1.837 1.837
Fe 5.511 5.511 5.511
```

***

4.
Material: BaMnFe4
Method: DFT, PBE
State: relaxed

```
6
Lattice="0.000 3.666 3.666 3.666 0.000 3.666 3.666 3.666 0.000" Properties=species:S:1:pos:R:3 pbc="T T T"
Ba 0.000 0.000 0.000
Mn 1.833 1.833 1.833
Fe 4.558 2.775 2.775
Fe 2.775 4.558 2.775
Fe 2.775 2.775 4.558
Fe 4.558 4.558 4.558
```

***

5.
Material: Ba2MnFe
Method: DFT, PBE
State: relaxed

```
4
Lattice="3.643 0.000 0.000 0.000 3.643 0.000 0.000 0.000 9.326" Properties=species:S:1:pos:R:3 pbc="T T T"
Ba 0.000 0.000 0.000
Ba 1.822 1.822 3.926
Mn 1.822 1.822 6.981
Fe 0.000 0.000 6.233
```

***

6.
Material: BaMnFe
Method: DFT, PBE
State: relaxed

```
3
Lattice="4.018 0.000 0.000 -2.009 3.480 0.000 0.000 0.000 5.328" Properties=species:S:1:pos:R:3 pbc="T T T"
Ba 0.000 0.000 0.000
Mn 2.009 1.160 2.664
Fe 0.000 2.320 2.664
```

***

7.
Material: Ba2MnFe
Method: DFT, PBE
State: relaxed

```
4
Lattice="4.342 0.000 0.000 0.000 2.452 6.232 0.000 -2.452 6.232" Properties=species:S:1:pos:R:3 pbc="T T T"
Ba 0.000 0.000 0.000
Ba 2.171 0.000 3.490
Mn 2.171 0.000 7.454
Fe 0.000 0.000 8.467
```

***

8.
Material: BaMnFe2
Method: DFT, PBE
State: relaxed

```
4
Lattice="-1.608 2.591 4.876 1.608 -2.591 4.876 1.608 2.591 -4.876" Properties=species:S:1:pos:R:3 pbc="T T T"
Ba 0.000 0.000 0.000
Mn 0.000 2.591 1.946
Fe 1.608 0.000 2.790
Fe 0.000 0.000 4.528
```

***

9.
Material: BaMn2Fe
Method: DFT, PBE
State: relaxed

```
4
Lattice="3.359 0.000 0.000 0.000 3.359 0.000 0.000 0.000 7.394" Properties=species:S:1:pos:R:3 pbc="T T T"
Ba 0.000 0.000 0.000
Mn 0.000 0.000 3.294
Mn 1.680 1.680 4.763
Fe 1.680 1.680 2.344
```

***

10.
Material: BaMn2Fe
Method: DFT, PBE
State: relaxed

```
4
Lattice="2.958 -4.072 0.000 2.958 4.072 0.000 0.000 0.000 3.280" Properties=species:S:1:pos:R:3 pbc="T T T"
Ba 0.000 0.000 0.000
Mn 1.479 2.036 1.640
Mn 1.479 -2.036 1.640
Fe 2.958 0.000 0.000
```

***

11.
Material: BaMn2Fe
Method: DFT, PBE
State: relaxed

```
4
Lattice="-1.563 2.674 5.171 1.563 -2.674 5.171 1.563 2.674 -5.171" Properties=species:S:1:pos:R:3 pbc="T T T"
Ba 0.000 0.000 0.000
Mn 1.563 0.000 3.120
Mn 0.000 2.674 2.052
Fe 0.000 0.000 5.171
```

***

12.
Material: BaMn3Fe
Method: DFT, PBE
State: relaxed

```
5
Lattice="4.613 0.000 0.000 0.000 4.613 0.000 0.000 0.000 4.613" Properties=species:S:1:pos:R:3 pbc="T T T"
Ba 0.000 0.000 0.000
Mn 0.000 0.000 2.307
Mn 0.000 2.307 0.000
Mn 2.307 0.000 0.000
Fe 2.307 2.307 2.307
```

***

13.
Material: BaMnFe2
Method: DFT, PBE
State: relaxed

```
4
Lattice="3.351 0.000 0.000 0.000 3.402 0.000 0.000 0.000 6.982" Properties=species:S:1:pos:R:3 pbc="T T T"
Ba 0.000 0.000 0.000
Mn 0.000 0.000 3.491
Fe 1.676 1.701 2.376
Fe 1.676 1.701 4.606
```

***

14.
Material: BaMnFe2
Method: DFT, PBE
State: relaxed

```
4
Lattice="1.540 0.889 9.073 -1.540 0.889 9.073 0.000 -1.779 9.073" Properties=species:S:1:pos:R:3 pbc="T T T"
Ba 0.000 0.000 0.000
Mn 0.000 0.000 13.609
Fe 0.000 0.000 6.221
Fe 0.000 0.000 20.996
```

***

15.
Material: BaMn2Fe
Method: DFT, PBE
State: relaxed

```
4
Lattice="3.577 -2.066 0.000 3.577 2.066 0.000 -2.394 0.000 5.947" Properties=species:S:1:pos:R:3 pbc="T T T"
Ba 0.000 0.000 0.000
Mn 2.381 0.000 3.106
Mn 4.766 0.000 2.506
Fe -0.004 0.000 3.428
```

***

16.
Material: BaMnFe2
Method: DFT, PBE
State: relaxed

```
4
Lattice="2.044 1.180 5.953 -2.044 1.180 5.953 0.000 -2.360 5.953" Properties=species:S:1:pos:R:3 pbc="T T T"
Ba 0.000 0.000 0.000
Mn 0.000 0.000 14.598
Fe 0.000 0.000 3.451
Fe 0.000 0.000 8.688
```

***

17.
Material: BaMnFe2
Method: DFT, PBE
State: relaxed

```
4
Lattice="0.000 3.180 3.180 3.180 0.000 3.180 3.180 3.180 0.000" Properties=species:S:1:pos:R:3 pbc="T T T"
Ba 0.000 0.000 0.000
Mn 3.180 3.180 3.180
Fe 1.590 1.590 1.590
Fe 4.770 4.770 4.770
```

***

18.
Material: Ba3MnFe
Method: DFT, PBE
State: relaxed

```
5
Lattice="5.742 0.000 0.000 0.000 5.742 0.000 0.000 0.000 5.742" Properties=species:S:1:pos:R:3 pbc="T T T"
Ba 0.000 0.000 2.871
Ba 0.000 2.871 0.000
Ba 2.871 0.000 0.000
Mn 0.000 0.000 0.000
Fe 2.871 2.871 2.871
```

***

19.
Material: BaMn2Fe
Method: DFT, PBE
State: relaxed

```
4
Lattice="3.105 0.000 0.000 0.000 3.098 0.000 -0.009 0.000 8.048" Properties=species:S:1:pos:R:3 pbc="T T T"
Ba 0.000 0.000 0.000
Mn 1.547 1.549 2.739
Mn 1.549 1.549 5.309
Fe -0.004 0.000 4.024
```

***

20.
Material: Ba2Mn2Fe
Method: DFT, PBE
State: relaxed

```
10
Lattice="9.323 0.000 0.000 0.000 9.323 0.000 0.000 0.000 3.582" Properties=species:S:1:pos:R:3 pbc="T T T"
Ba 1.779 2.883 0.000
Ba 2.883 7.544 0.000
Ba 6.440 1.779 0.000
Ba 7.544 6.440 0.000
Mn 0.911 5.573 1.791
Mn 3.750 0.911 1.791
Mn 5.573 8.411 1.791
Mn 8.411 3.750 1.791
Fe 0.000 0.000 0.000
Fe 4.661 4.661 0.000
```

***

21.
Material: Ba2MnFe
Method: DFT, PBE
State: relaxed

```
4
Lattice="0.000 3.872 3.872 3.872 0.000 3.872 3.872 3.872 0.000" Properties=species:S:1:pos:R:3 pbc="T T T"
Ba 0.000 0.000 0.000
Ba 1.936 1.936 1.936
Mn 3.872 3.872 3.872
Fe 5.809 5.809 5.809
```

***

22.
Material: Ba2MnFe
Method: DFT, PBE
State: relaxed

```
8
Lattice="-5.850 5.850 2.345 5.850 -5.850 2.345 5.850 5.850 -2.345" Properties=species:S:1:pos:R:3 pbc="T T T"
Ba 0.746 2.925 0.586
Ba -2.925 5.103 1.759
Ba -0.746 8.775 0.586
Ba 2.925 6.596 1.759
Mn 5.850 0.000 1.172
Mn 0.000 0.000 2.345
Fe 0.000 0.000 0.000
Fe 0.000 5.850 1.172
```

***

23.
Material: Ba2MnFe
Method: DFT, PBE
State: relaxed

```
4
Lattice="0.000 3.972 3.972 3.972 0.000 3.972 3.972 3.972 0.000" Properties=species:S:1:pos:R:3 pbc="T T T"
Ba 1.986 1.986 1.986
Ba 5.958 5.958 5.958
Mn 0.000 0.000 0.000
Fe 3.972 3.972 3.972
```

***

24.
Material: BaMnFe2
Method: DFT, PBE
State: relaxed

```
4
Lattice="-1.694 2.446 4.663 1.694 -2.446 4.663 1.694 2.446 -4.663" Properties=species:S:1:pos:R:3 pbc="T T T"
Ba 0.000 0.000 0.000
Mn 0.000 0.000 4.663
Fe 1.694 0.000 2.602
Fe 0.000 2.446 2.061
```

***

25.
Material: BaMnFe2
Method: DFT, PBE
State: relaxed

```
4
Lattice="3.906 0.000 0.000 0.000 1.739 6.417 0.000 -1.739 6.417" Properties=species:S:1:pos:R:3 pbc="T T T"
Ba 0.000 0.000 0.000
Mn 1.953 0.000 3.693
Fe 0.000 0.000 9.629
Fe 1.953 0.000 8.328
```

***

26.
Material: BaMnFe2
Method: DFT, PBE
State: relaxed

```
4
Lattice="-2.145 2.145 4.203 2.145 -2.145 4.203 2.145 2.145 -4.203" Properties=species:S:1:pos:R:3 pbc="T T T"
Ba 0.000 0.000 0.000
Mn 0.000 2.145 2.102
Fe 2.145 0.000 2.102
Fe 0.000 0.000 4.203
```

***

27.
Material: BaMn2Fe
Method: DFT, PBE
State: relaxed

```
4
Lattice="-2.190 2.922 3.763 2.190 -2.922 3.763 2.190 2.922 -3.763" Properties=species:S:1:pos:R:3 pbc="T T T"
Ba 0.000 0.000 0.000
Mn 0.000 0.000 3.462
Mn 0.000 2.922 1.252
Fe 2.190 0.000 2.531
```

***

28.
Material: BaMnFe2
Method: DFT, PBE
State: relaxed

```
4
Lattice="2.900 -4.359 0.000 2.900 4.359 0.000 -0.667 0.000 2.976" Properties=species:S:1:pos:R:3 pbc="T T T"
Ba 0.000 0.000 0.000
Mn 2.900 0.000 0.000
Fe 1.117 2.179 1.488
Fe 1.117 -2.179 1.488
```

***

29.
Material: BaMn2Fe
Method: DFT, PBE
State: relaxed

```
4
Lattice="0.000 3.155 3.155 3.155 0.000 3.155 3.155 3.155 0.000" Properties=species:S:1:pos:R:3 pbc="T T T"
Ba 0.000 0.000 0.000
Mn 1.578 1.578 1.578
Mn 4.733 4.733 4.733
Fe 3.155 3.155 3.155
```

***

30.
Material: BaMnFe2
Method: DFT, PBE
State: relaxed

```
4
Lattice="-2.098 2.098 4.386 2.098 -2.098 4.386 2.098 2.098 -4.386" Properties=species:S:1:pos:R:3 pbc="T T T"
Ba 0.000 0.000 0.000
Mn 0.000 0.000 4.386
Fe 2.098 0.000 2.193
Fe 0.000 2.098 2.193
```

***

So what do the calculations give for calculated total energy? Going down the list: -3.046; -6.434; -4.875; -6.897; -4.780; -5.852; -4.793; -6.125; -6.480; -6.116; -6.220; -4.265; -6.320; -5.900; -6.716; -6.522; -5.421; -3.593; -6.503; -4.975; -4.476; -4.675; -4.585; -5.988; -6.319; -5.947; -6.249; -5.891; -5.581; -5.935 eV/atom.
So what do the calculations give for V? Going down the list: 260; 89; 99; 99; 124; 74; 133; 81; 83; 79; 86; 98; 80; 75; 88; 86; 64; 189; 77; 311; 116; 321; 125; 77; 87; 77; 96; 75; 63; 77 Å³ per cell.
So what do the calculations give for D(E_F)? Going down the list: 12.22; 3.72; 6.96; 4.34; 4.42; 4.36; 3.99; 4.26; 4.64; 4.21; 6.20; 14.87; 6.66; 5.69; 4.63; 4.36; 13.41; 4.14; 4.44; 3.99; 10.27; 2.03; 7.68; 4.84; 4.59; 4.20; 4.53; 5.08; 19.97; 4.28 states/eV/f.u..